# 1
This record from Alexandria describes a PBEsol-optimized structure of Mn2RhI. The functional is SCAN.

Lattice parameters (Å, degrees): 4.443 4.443 4.443 60.00 60.00 60.00
Fractional positions:
Mn  0.250  0.250  0.250
Mn  0.750  0.750  0.750
Rh  0.000  0.000  0.000
I  0.500  0.500  0.500

Computed properties:
DOS at the Fermi energy in states/eV/f.u.: 3.608
Total DFT energy (no corrections) in eV per atom: -26.33
Volume in Å³/cell: 62.0
Formation energy from raw total energies in meV per atom: 423



# 2
This record from Alexandria describes a PBEsol-optimized structure of TlIrSe2. The functional is SCAN.

Lattice parameters (Å, degrees): 8.955 8.955 8.955 160.82 158.09 29.28
Fractional positions:
Tl  0.000  0.000  0.000
Ir  0.252  0.752  0.500
Se  0.647  0.647  0.000
Se  0.822  0.322  0.500

Computed properties:
DOS at the Fermi energy in states/eV/f.u.: 1.773
Total DFT energy (no corrections) in eV per atom: -45.84
Volume in Å³/cell: 88.0
Formation energy from raw total energies in meV per atom: 61



# 3
This record from Alexandria describes a PBEsol-optimized structure of LiIn2Au2. The functional is SCAN.

Lattice parameters (Å, degrees): 6.758 6.758 6.758 142.21 142.21 54.52
Fractional positions:
Li  0.000  0.000  0.000
In  0.250  0.750  0.500
In  0.750  0.250  0.500
Au  0.391  0.391  0.000
Au  0.609  0.609  0.000

Computed properties:
DOS at the Fermi energy in states/eV/f.u.: 1.866
Total DFT energy (no corrections) in eV per atom: -41.76
Formation enthalpy at 0 K in eV per atom: -0.264
Volume in Å³/cell: 115.1